Ba2LiY2Fe4O10 (PBE with a Hubbard U, optimized geometry); E above lowest polymorph = 1.191 eV per formula unit; spin magnetization = 15.01 μB per formula unit
1.0
-1.692 -2.756 -1.962
5.846 0.655 -5.944
4.972 -5.975 3.177
Ba O Fe Y Li
2 10 4 2 1
direct
0.983 0.457 0.990
0.959 0.940 0.940
0.003 0.734 0.636
0.541 0.544 0.377
0.437 0.186 0.969
0.023 0.859 0.260
0.481 0.697 0.989
0.992 0.229 0.656
0.056 0.324 0.297
0.523 0.089 0.370
0.487 0.461 0.719
0.489 0.982 0.697
0.551 0.316 0.338
0.481 0.218 0.740
0.500 0.753 0.237
0.489 0.719 0.728
0.000 0.994 0.500
0.016 0.490 0.529
0.256 0.125 0.187